1.
# ZnAg15 | the Open Quantum Materials Database | GGA-PBE | optimized geometry
# **Relative energy among the computed polymorphs**: 2.3 kJ/mol of atoms
# **E_form**: 1.1 eV per formula unit
# **Symmetry**: P2_1/m
data_ZnAg15
_symmetry_space_group_name_H-M 'P 1'
_symmetry_Int_Tables_number 1
_cell_length_a 8.266
_cell_length_b 2.926
_cell_length_c 37.301
_cell_angle_alpha 90.00
_cell_angle_beta 90.02
_cell_angle_gamma 90.00
loop_
_symmetry_equiv_pos_as_xyz
'x,y,z'
loop_
_atom_site_label
_atom_site_type_symbol
_atom_site_fract_x
_atom_site_fract_y
_atom_site_fract_z
Ag1 Ag 0.377 0.500 0.321
Ag2 Ag 0.125 0.000 0.284
Ag3 Ag 0.873 0.500 0.321
Ag4 Ag 0.625 0.000 0.205
Ag5 Ag 0.375 0.500 0.559
Ag6 Ag 0.875 0.500 0.400
Ag7 Ag 0.125 0.000 0.441
Ag8 Ag 0.375 0.500 0.401
Ag9 Ag 0.875 0.500 0.716
Ag10 Ag 0.127 0.000 0.679
Ag11 Ag 0.125 0.000 0.520
Ag12 Ag 0.623 0.000 0.679
Ag13 Ag 0.125 0.000 0.362
Ag14 Ag 0.875 0.500 0.480
Ag15 Ag 0.625 0.000 0.440
Ag16 Ag 0.125 0.000 0.599
Ag17 Ag 0.375 0.500 0.480
Ag18 Ag 0.625 0.000 0.599
Ag19 Ag 0.121 0.000 0.760
Ag20 Ag 0.875 0.500 0.638
Ag21 Ag 0.629 0.000 0.760
Ag22 Ag 0.875 0.500 0.559
Ag23 Ag 0.625 0.000 0.520
Ag24 Ag 0.625 0.000 0.361
Ag25 Ag 0.375 0.500 0.795
Ag26 Ag 0.879 0.500 0.240
Ag27 Ag 0.625 0.000 0.281
Ag28 Ag 0.375 0.500 0.719
Ag29 Ag 0.371 0.500 0.240
Ag30 Ag 0.375 0.500 0.639
Zn1 Zn 0.875 0.500 0.790
Zn2 Zn 0.125 0.000 0.211

***

2.
# Lu5GeC2 | the Open Quantum Materials Database | GGA-PBE | optimized geometry
# **DFT total energy**: -4.283 eV/atom
# **Symmetry**: P4/mmm
data_Lu5GeC2
_symmetry_space_group_name_H-M 'P 1'
_symmetry_Int_Tables_number 1
_cell_length_a 6.685
_cell_length_b 6.685
_cell_length_c 4.739
_cell_angle_alpha 90.00
_cell_angle_beta 90.00
_cell_angle_gamma 90.00
loop_
_symmetry_equiv_pos_as_xyz
'x,y,z'
loop_
_atom_site_label
_atom_site_type_symbol
_atom_site_fract_x
_atom_site_fract_y
_atom_site_fract_z
Lu1 Lu 0.729 0.729 0.000
Lu2 Lu 0.729 0.271 0.000
Lu3 Lu 0.000 0.000 0.500
Lu4 Lu 0.271 0.271 0.000
Lu5 Lu 0.271 0.729 0.000
Ge1 Ge 0.000 0.000 0.000
C1 C 0.500 0.000 0.500
C2 C 0.000 0.500 0.500

***

3.
# CuAg9 | the Open Quantum Materials Database | GGA-PBE | optimized geometry
# **Relative energy among the computed polymorphs**: 1.1 kJ/mol of atoms
# **E_form**: 0.3 eV per formula unit
# **Symmetry**: P1
data_CuAg9
_symmetry_space_group_name_H-M 'P 1'
_symmetry_Int_Tables_number 1
_cell_length_a 6.506
_cell_length_b 7.714
_cell_length_c 14.493
_cell_angle_alpha 79.12
_cell_angle_beta 77.10
_cell_angle_gamma 85.20
loop_
_symmetry_equiv_pos_as_xyz
'x,y,z'
loop_
_atom_site_label
_atom_site_type_symbol
_atom_site_fract_x
_atom_site_fract_y
_atom_site_fract_z
Ag1 Ag 0.504 0.501 0.497
Ag2 Ag 0.999 0.001 0.599
Ag3 Ag 0.750 0.752 0.549
Ag4 Ag 0.878 0.369 0.175
Ag5 Ag 0.500 0.499 0.701
Ag6 Ag 0.512 0.492 0.300
Ag7 Ag 0.252 0.251 0.249
Ag8 Ag 0.999 0.008 0.002
Ag9 Ag 0.124 0.623 0.423
Ag10 Ag 0.123 0.622 0.827
Ag11 Ag 0.623 0.128 0.929
Ag12 Ag 0.624 0.126 0.726
Ag13 Ag 0.374 0.873 0.877
Ag14 Ag 0.248 0.251 0.445
Ag15 Ag 0.375 0.876 0.674
Ag16 Ag 0.123 0.614 0.026
Ag17 Ag 0.991 0.008 0.397
Ag18 Ag 0.376 0.880 0.471
Ag19 Ag 0.998 0.003 0.200
Ag20 Ag 0.370 0.879 0.076
Ag21 Ag 0.502 0.496 0.099
Ag22 Ag 0.124 0.621 0.227
Ag23 Ag 0.504 0.495 0.904
Ag24 Ag 0.751 0.751 0.349
Ag25 Ag 0.999 0.000 0.801
Ag26 Ag 0.126 0.625 0.624
Ag27 Ag 0.621 0.130 0.126
Ag28 Ag 0.752 0.746 0.951
Ag29 Ag 0.246 0.252 0.857
Ag30 Ag 0.378 0.877 0.276
Ag31 Ag 0.875 0.375 0.572
Ag32 Ag 0.876 0.374 0.779
Ag33 Ag 0.750 0.750 0.751
Ag34 Ag 0.626 0.131 0.518
Ag35 Ag 0.250 0.251 0.650
Ag36 Ag 0.750 0.750 0.149
Cu1 Cu 0.880 0.373 0.978
Cu2 Cu 0.874 0.372 0.372
Cu3 Cu 0.243 0.251 0.051
Cu4 Cu 0.628 0.129 0.324

***

4.
# Zr4CdFeN2 | the Open Quantum Materials Database | GGA-PBE | optimized geometry
# **DFT total energy**: -8.312 eV/atom
# **Symmetry**: P-6m2
data_Zr4CdFeN2
_symmetry_space_group_name_H-M 'P 1'
_symmetry_Int_Tables_number 1
_cell_length_a 3.252
_cell_length_b 3.252
_cell_length_c 14.165
_cell_angle_alpha 90.00
_cell_angle_beta 90.00
_cell_angle_gamma 120.00
loop_
_symmetry_equiv_pos_as_xyz
'x,y,z'
loop_
_atom_site_label
_atom_site_type_symbol
_atom_site_fract_x
_atom_site_fract_y
_atom_site_fract_z
Zr1 Zr 0.667 0.333 0.138
Zr2 Zr 0.000 0.000 0.321
Zr3 Zr 0.667 0.333 0.862
Zr4 Zr 0.000 0.000 0.679
Fe1 Fe 0.000 0.000 0.000
N1 N 0.333 0.667 0.767
N2 N 0.333 0.667 0.233
Cd1 Cd 0.667 0.333 0.500

***

5.
# Ba3CdHgBi4 | the Open Quantum Materials Database | GGA-PBE | optimized geometry
# **DFT total energy**: -3.223 eV/atom
# **Symmetry**: Cm
data_Ba3CdHgBi4
_symmetry_space_group_name_H-M 'P 1'
_symmetry_Int_Tables_number 1
_cell_length_a 9.455
_cell_length_b 9.455
_cell_length_c 7.872
_cell_angle_alpha 110.99
_cell_angle_beta 110.99
_cell_angle_gamma 30.97
loop_
_symmetry_equiv_pos_as_xyz
'x,y,z'
loop_
_atom_site_label
_atom_site_type_symbol
_atom_site_fract_x
_atom_site_fract_y
_atom_site_fract_z
Bi1 Bi 0.495 0.495 0.188
Bi2 Bi 0.792 0.792 0.293
Bi3 Bi 0.507 0.507 0.814
Bi4 Bi 0.206 0.206 0.706
Ba1 Ba 0.859 0.859 0.888
Ba2 Ba 0.141 0.141 0.110
Ba3 Ba 0.999 0.999 0.499
Cd1 Cd 0.665 0.665 0.473
Hg1 Hg 0.337 0.337 0.529

***

6.
# Dy2TmPd | the Open Quantum Materials Database | GGA-PBE | optimized geometry
# **E_form**: -1.1 eV per formula unit
# **Symmetry**: P3m1
data_Dy2TmPd
_symmetry_space_group_name_H-M 'P 1'
_symmetry_Int_Tables_number 1
_cell_length_a 3.971
_cell_length_b 3.971
_cell_length_c 8.453
_cell_angle_alpha 90.00
_cell_angle_beta 90.00
_cell_angle_gamma 120.00
loop_
_symmetry_equiv_pos_as_xyz
'x,y,z'
loop_
_atom_site_label
_atom_site_type_symbol
_atom_site_fract_x
_atom_site_fract_y
_atom_site_fract_z
Pd1 Pd 0.333 0.667 0.232
Tm1 Tm 0.000 0.000 0.051
Dy1 Dy 0.333 0.667 0.739
Dy2 Dy 0.667 0.333 0.422

***

7.
# Rb4Hf3S14 | the Open Quantum Materials Database | GGA-PBE | optimized geometry
# **DFT total energy**: -5.475 eV/atom
# **Symmetry**: C2/c
data_Rb4Hf3S14
_symmetry_space_group_name_H-M 'P 1'
_symmetry_Int_Tables_number 1
_cell_length_a 11.703
_cell_length_b 11.703
_cell_length_c 13.626
_cell_angle_alpha 110.78
_cell_angle_beta 110.78
_cell_angle_gamma 41.51
loop_
_symmetry_equiv_pos_as_xyz
'x,y,z'
loop_
_atom_site_label
_atom_site_type_symbol
_atom_site_fract_x
_atom_site_fract_y
_atom_site_fract_z
S1 S 0.348 0.515 0.084
S2 S 0.432 0.009 0.604
S3 S 0.759 0.434 0.706
S4 S 0.806 0.856 0.169
S5 S 0.592 0.694 0.891
S6 S 0.241 0.566 0.294
S7 S 0.408 0.306 0.109
S8 S 0.485 0.652 0.416
S9 S 0.566 0.241 0.794
S10 S 0.568 0.991 0.396
S11 S 0.515 0.348 0.584
S12 S 0.926 0.904 0.132
S13 S 0.856 0.806 0.669
S14 S 0.114 0.805 0.397
S15 S 0.195 0.886 0.103
S16 S 0.694 0.592 0.391
S17 S 0.805 0.114 0.897
S18 S 0.144 0.194 0.331
S19 S 0.096 0.074 0.368
S20 S 0.306 0.408 0.609
S21 S 0.652 0.485 0.916
S22 S 0.991 0.568 0.896
S23 S 0.074 0.096 0.868
S24 S 0.886 0.195 0.603
S25 S 0.009 0.432 0.104
S26 S 0.434 0.759 0.206
S27 S 0.194 0.144 0.831
S28 S 0.904 0.926 0.632
Hf1 Hf 0.234 0.766 0.250
Hf2 Hf 0.079 0.585 0.088
Hf3 Hf 0.766 0.234 0.750
Hf4 Hf 0.585 0.079 0.588
Hf5 Hf 0.921 0.415 0.912
Hf6 Hf 0.415 0.921 0.412
Rb1 Rb 0.196 0.673 0.856
Rb2 Rb 0.020 0.384 0.610
Rb3 Rb 0.804 0.327 0.144
Rb4 Rb 0.384 0.020 0.110
Rb5 Rb 0.327 0.804 0.644
Rb6 Rb 0.980 0.616 0.390
Rb7 Rb 0.673 0.196 0.356
Rb8 Rb 0.616 0.980 0.890

***

8.
# Al2Cd2O5 | the Open Quantum Materials Database | GGA-PBE | optimized geometry
# **Relative energy among the computed polymorphs**: 0.0 kJ/mol of atoms
# **Symmetry**: P4/mmm
data_Al2Cd2O5
_symmetry_space_group_name_H-M 'P 1'
_symmetry_Int_Tables_number 1
_cell_length_a 7.381
_cell_length_b 3.651
_cell_length_c 3.651
_cell_angle_alpha 90.00
_cell_angle_beta 90.00
_cell_angle_gamma 90.00
loop_
_symmetry_equiv_pos_as_xyz
'x,y,z'
loop_
_atom_site_label
_atom_site_type_symbol
_atom_site_fract_x
_atom_site_fract_y
_atom_site_fract_z
Al1 Al 0.743 0.500 0.500
Al2 Al 0.257 0.500 0.500
Cd1 Cd 0.000 0.000 0.000
Cd2 Cd 0.500 0.000 0.000
O1 O 0.787 0.000 0.500
O2 O 0.787 0.500 0.000
O3 O 0.213 0.000 0.500
O4 O 0.213 0.500 0.000
O5 O 0.500 0.500 0.500

***

9.
# BaBeBAu | the Open Quantum Materials Database | GGA-PBE | optimized geometry
# **Relative energy among the computed polymorphs**: 10.4 kJ/mol of atoms
# **Symmetry**: F-43m
data_BaBeBAu
_symmetry_space_group_name_H-M 'P 1'
_symmetry_Int_Tables_number 1
_cell_length_a 4.921
_cell_length_b 4.921
_cell_length_c 4.921
_cell_angle_alpha 60.00
_cell_angle_beta 60.00
_cell_angle_gamma 60.00
loop_
_symmetry_equiv_pos_as_xyz
'x,y,z'
loop_
_atom_site_label
_atom_site_type_symbol
_atom_site_fract_x
_atom_site_fract_y
_atom_site_fract_z
Be1 Be 0.500 0.500 0.500
B1 B 0.250 0.250 0.250
Ba1 Ba 0.000 0.000 0.000
Au1 Au 0.750 0.750 0.750

***

10.
# Hf4ZnPN2 | the Open Quantum Materials Database | GGA-PBE | optimized geometry
# **DFT total energy**: -9.099 eV/atom
# **Symmetry**: P-6m2
data_Hf4ZnPN2
_symmetry_space_group_name_H-M 'P 1'
_symmetry_Int_Tables_number 1
_cell_length_a 3.295
_cell_length_b 3.295
_cell_length_c 12.855
_cell_angle_alpha 90.00
_cell_angle_beta 90.00
_cell_angle_gamma 120.00
loop_
_symmetry_equiv_pos_as_xyz
'x,y,z'
loop_
_atom_site_label
_atom_site_type_symbol
_atom_site_fract_x
_atom_site_fract_y
_atom_site_fract_z
P1 P 0.000 0.000 0.000
N1 N 0.333 0.667 0.238
N2 N 0.333 0.667 0.762
Zn1 Zn 0.667 0.333 0.500
Hf1 Hf 0.000 0.000 0.330
Hf2 Hf 0.000 0.000 0.670
Hf3 Hf 0.667 0.333 0.862
Hf4 Hf 0.667 0.333 0.138

***

11.
# HfMg2Ag | the Open Quantum Materials Database | GGA-PBE | optimized geometry
# **DFT total energy**: -3.905 eV/atom
# **Symmetry**: F-43m
data_HfMg2Ag
_symmetry_space_group_name_H-M 'P 1'
_symmetry_Int_Tables_number 1
_cell_length_a 4.811
_cell_length_b 4.811
_cell_length_c 4.811
_cell_angle_alpha 60.00
_cell_angle_beta 60.00
_cell_angle_gamma 60.00
loop_
_symmetry_equiv_pos_as_xyz
'x,y,z'
loop_
_atom_site_label
_atom_site_type_symbol
_atom_site_fract_x
_atom_site_fract_y
_atom_site_fract_z
Ag1 Ag 0.500 0.500 0.500
Mg1 Mg 0.750 0.750 0.750
Mg2 Mg 0.000 0.000 0.000
Hf1 Hf 0.250 0.250 0.250

***

12.
# Rb2PdBr3Cl | the Open Quantum Materials Database | GGA-PBE | optimized geometry
# **DFT total energy**: -3.226 eV/atom
# **Symmetry**: Amm2
data_Rb2PdBr3Cl
_symmetry_space_group_name_H-M 'P 1'
_symmetry_Int_Tables_number 1
_cell_length_a 4.568
_cell_length_b 7.610
_cell_length_c 7.610
_cell_angle_alpha 88.48
_cell_angle_beta 90.00
_cell_angle_gamma 90.00
loop_
_symmetry_equiv_pos_as_xyz
'x,y,z'
loop_
_atom_site_label
_atom_site_type_symbol
_atom_site_fract_x
_atom_site_fract_y
_atom_site_fract_z
Br1 Br 0.000 0.234 0.769
Br2 Br 0.000 0.776 0.776
Br3 Br 0.000 0.769 0.234
Rb1 Rb 0.500 0.010 0.492
Rb2 Rb 0.500 0.492 0.010
Pd1 Pd 0.000 0.002 0.002
Cl1 Cl 0.000 0.218 0.218

***

Repeat the first record exactly.
# ZnAg15 | the Open Quantum Materials Database | GGA-PBE | optimized geometry
# **Relative energy among the computed polymorphs**: 2.3 kJ/mol of atoms
# **E_form**: 1.1 eV per formula unit
# **Symmetry**: P2_1/m
data_ZnAg15
_symmetry_space_group_name_H-M 'P 1'
_symmetry_Int_Tables_number 1
_cell_length_a 8.266
_cell_length_b 2.926
_cell_length_c 37.301
_cell_angle_alpha 90.00
_cell_angle_beta 90.02
_cell_angle_gamma 90.00
loop_
_symmetry_equiv_pos_as_xyz
'x,y,z'
loop_
_atom_site_label
_atom_site_type_symbol
_atom_site_fract_x
_atom_site_fract_y
_atom_site_fract_z
Ag1 Ag 0.377 0.500 0.321
Ag2 Ag 0.125 0.000 0.284
Ag3 Ag 0.873 0.500 0.321
Ag4 Ag 0.625 0.000 0.205
Ag5 Ag 0.375 0.500 0.559
Ag6 Ag 0.875 0.500 0.400
Ag7 Ag 0.125 0.000 0.441
Ag8 Ag 0.375 0.500 0.401
Ag9 Ag 0.875 0.500 0.716
Ag10 Ag 0.127 0.000 0.679
Ag11 Ag 0.125 0.000 0.520
Ag12 Ag 0.623 0.000 0.679
Ag13 Ag 0.125 0.000 0.362
Ag14 Ag 0.875 0.500 0.480
Ag15 Ag 0.625 0.000 0.440
Ag16 Ag 0.125 0.000 0.599
Ag17 Ag 0.375 0.500 0.480
Ag18 Ag 0.625 0.000 0.599
Ag19 Ag 0.121 0.000 0.760
Ag20 Ag 0.875 0.500 0.638
Ag21 Ag 0.629 0.000 0.760
Ag22 Ag 0.875 0.500 0.559
Ag23 Ag 0.625 0.000 0.520
Ag24 Ag 0.625 0.000 0.361
Ag25 Ag 0.375 0.500 0.795
Ag26 Ag 0.879 0.500 0.240
Ag27 Ag 0.625 0.000 0.281
Ag28 Ag 0.375 0.500 0.719
Ag29 Ag 0.371 0.500 0.240
Ag30 Ag 0.375 0.500 0.639
Zn1 Zn 0.875 0.500 0.790
Zn2 Zn 0.125 0.000 0.211